[1]
PBE KMo2Rh, relaxed; total energy = -6.486 eV per atom; V = 78 Å³/cell; total magnetization = 0.1 μB per formula unit; ΔH_f (0 K) = 1.041 eV per atom
1.0
-1.500 2.712 4.816
1.500 -2.712 4.816
1.500 2.712 -4.816
K Mo Rh
1 2 1
Cartesian
0.000 0.000 0.000 K
1.500 0.000 2.798 Mo
0.000 0.000 4.689 Mo
0.000 2.712 2.080 Rh

---

[2]
PBE KMoRh2, relaxed; total energy = -5.812 eV per atom; V = 69 Å³/cell; total magnetization = 0.0 μB per formula unit; ΔH_f (0 K) = 0.846 eV per atom
1.0
3.237 -3.808 0.000
3.237 3.808 0.000
0.000 0.000 2.801
K Mo Rh
1 1 2
Cartesian
0.000 0.000 0.000 K
3.237 0.000 0.000 Mo
1.619 1.904 1.401 Rh
1.619 -1.904 1.401 Rh

---

[3]
PBE KMo2Rh, relaxed; total energy = -6.026 eV per atom; V = 69 Å³/cell; total magnetization = 0.0 μB per formula unit; ΔH_f (0 K) = 1.501 eV per atom
1.0
4.993 0.000 0.000
0.000 4.993 0.000
0.000 0.000 2.772
K Mo Rh
1 2 1
Cartesian
0.000 0.000 0.000 K
0.000 2.497 1.386 Mo
2.497 0.000 1.386 Mo
2.497 2.497 0.000 Rh

---

[4]
PBE KMo2Rh, relaxed; total energy = -6.638 eV per atom; V = 77 Å³/cell; total magnetization = 0.0 μB per formula unit; ΔH_f (0 K) = 0.890 eV per atom
1.0
6.080 -1.346 0.000
6.080 1.346 0.000
-2.163 0.000 4.711
K Mo Rh
1 2 1
Cartesian
0.000 0.000 0.000 K
0.987 0.000 3.321 Mo
9.010 0.000 1.389 Mo
4.998 0.000 2.355 Rh

---

[5]
PBE KMoRh2, relaxed; total energy = -5.515 eV per atom; V = 69 Å³/cell; total magnetization = 0.0 μB per formula unit; ΔH_f (0 K) = 1.143 eV per atom
1.0
-2.009 2.009 4.288
2.009 -2.009 4.288
2.009 2.009 -4.288
K Mo Rh
1 1 2
Cartesian
0.000 0.000 0.000 K
2.009 0.000 2.144 Mo
0.000 0.000 4.288 Rh
0.000 2.009 2.144 Rh

---

[6]
PBE KMo2Rh, relaxed; total energy = -6.805 eV per atom; V = 89 Å³/cell; total magnetization = 0.0 μB per formula unit; ΔH_f (0 K) = 0.723 eV per atom
1.0
2.741 0.000 0.000
0.000 3.998 0.000
-0.194 0.000 8.117
K Mo Rh
1 2 1
Cartesian
0.000 0.000 0.000 K
-0.100 1.999 5.277 Mo
2.647 1.999 2.840 Mo
1.274 0.000 4.059 Rh

---

[7]
PBE KMoRh2, relaxed; total energy = -5.797 eV per atom; V = 172 Å³/cell; total magnetization = 0.0 μB per formula unit; ΔH_f (0 K) = 0.861 eV per atom
1.0
-3.685 3.685 3.170
3.685 -3.685 3.170
3.685 3.685 -3.170
K Mo Rh
2 2 4
Cartesian
0.000 0.000 0.000 K
0.000 3.685 1.585 K
3.685 0.000 1.585 Mo
0.000 0.000 3.170 Mo
1.843 -1.351 2.378 Rh
2.335 1.843 0.793 Rh
1.843 5.036 -0.793 Rh
1.351 1.843 3.963 Rh

---

[8]
PBE KMoRh2, relaxed; total energy = -5.955 eV per atom; V = 73 Å³/cell; total magnetization = 0.0 μB per formula unit; ΔH_f (0 K) = 0.703 eV per atom
1.0
-1.372 2.498 5.310
1.372 -2.498 5.310
1.372 2.498 -5.310
K Mo Rh
1 1 2
Cartesian
0.000 0.000 0.000 K
0.000 2.498 2.259 Mo
1.372 0.000 3.006 Rh
0.000 0.000 5.378 Rh

---

[9]
PBE KMo2Rh, relaxed; total energy = -6.679 eV per atom; V = 96 Å³/cell; total magnetization = 0.0 μB per formula unit; ΔH_f (0 K) = 0.849 eV per atom
1.0
3.460 0.000 0.000
0.000 3.460 0.000
0.000 0.000 8.018
K Mo Rh
1 2 1
Cartesian
0.000 0.000 0.000 K
1.730 1.730 2.903 Mo
1.730 1.730 5.115 Mo
0.000 0.000 4.009 Rh

---

[10]
PBE KMoRh3, relaxed; total energy = -5.994 eV per atom; V = 110 Å³/cell; total magnetization = 0.0 μB per formula unit; ΔH_f (0 K) = 0.803 eV per atom
1.0
4.788 0.000 0.000
0.000 4.788 0.000
0.000 0.000 4.788
K Mo Rh
1 1 3
Cartesian
0.000 0.000 0.000 K
2.394 2.394 2.394 Mo
0.000 2.394 2.394 Rh
2.394 0.000 2.394 Rh
2.394 2.394 0.000 Rh

---

[11]
PBE KMoRh2, relaxed; total energy = -6.119 eV per atom; V = 85 Å³/cell; total magnetization = 0.0 μB per formula unit; ΔH_f (0 K) = 0.538 eV per atom
1.0
2.745 0.000 0.000
0.000 4.151 0.000
0.000 0.000 7.501
K Mo Rh
1 1 2
Cartesian
0.000 0.000 0.000 K
1.373 2.076 2.851 Mo
0.000 0.000 3.734 Rh
1.373 2.076 5.206 Rh

---

[12]
PBE KMoRh2, relaxed; total energy = -6.051 eV per atom; V = 87 Å³/cell; total magnetization = 0.0 μB per formula unit; ΔH_f (0 K) = 0.607 eV per atom
1.0
2.848 0.000 0.000
0.000 4.388 0.000
-0.613 0.000 6.957
K Mo Rh
1 1 2
Cartesian
0.000 0.000 0.000 K
2.237 2.194 2.832 Mo
0.899 0.000 3.267 Rh
0.811 2.194 4.891 Rh